Computed, not measured: an optimized crystal structure of LiHfMo2O6 at the PBE with a Hubbard U level of DFT. Values from VASP.

Properties
- space group = P1, No. 1
- volume (Å³ per atom) = 12.3
- raw total energy (eV per atom) = -7.83

```
&SYSTEM
  ibrav = 0, nat = 10, ntyp = 4
/
ATOMIC_SPECIES
O 16.00 O.upf
Mo 95.94 Mo.upf
Hf 178.49 Hf.upf
Li 6.94 Li.upf
CELL_PARAMETERS angstrom
-0.3567 -3.8465 3.7932
4.3888 -2.5471 1.7026
1.8563 1.2089 5.3904
ATOMIC_POSITIONS crystal
O 0.9222 0.6224 0.2180
O 0.6150 0.2403 0.2171
O 0.7199 0.1318 0.7497
O 0.1285 0.3886 0.7561
O 0.2373 0.9229 0.2276
O 0.3915 0.7281 0.7536
Mo 0.5174 0.5168 0.4507
Mo 0.0155 0.0168 0.9558
Hf 0.3185 0.3055 0.0564
Li 0.7958 0.7884 0.6301
```